LaPr2Co2B2C3: optimized geometry, PBE.

VASP energy ... -70.67 eV per cell
Symmetry ... I4/mmm, No. 139

abc: 10.936 10.936 10.936
angles: 160.44 160.44 27.80
Sites, in units of the cell vectors:
La  0.000  0.000  0.000
Pr  0.369  0.369  0.000
Pr  0.631  0.631  0.000
Co  0.250  0.750  0.500
Co  0.750  0.250  0.500
B  0.199  0.199  0.000
B  0.801  0.801  0.000
C  0.128  0.128  0.000
C  0.500  0.500  0.000
C  0.872  0.872  0.000


SmGdNCl2: optimized geometry, PBE.

VASP energy ... -31.03 eV per cell
Symmetry ... P3m1, No. 156

abc: 3.664 3.664 10.164
angles: 90.00 90.00 120.00
Sites, in units of the cell vectors:
Sm  0.000  0.000  0.000
Gd  0.667  0.333  0.737
N  0.333  0.667  0.863
Cl  0.000  0.000  0.562
Cl  0.667  0.333  0.179


Tl2InAg: optimized geometry, PBE.

VASP energy ... -9.79 eV per cell
Symmetry ... F-43m, No. 216

abc: 5.281 5.281 5.281
angles: 60.00 60.00 60.00
Sites, in units of the cell vectors:
Tl  0.000  0.000  0.000
Tl  0.250  0.250  0.250
In  0.500  0.500  0.500
Ag  0.750  0.750  0.750


Y2Si4NiPt: optimized geometry, PBE.

VASP energy ... -53.46 eV per cell
Symmetry ... Amm2, No. 38

abc: 4.072 8.621 8.621
angles: 27.23 90.00 90.00
Sites, in units of the cell vectors:
Y  0.000  0.000  0.000
Y  0.500  0.205  0.205
Si  0.000  0.362  0.362
Si  0.000  0.639  0.639
Si  0.500  0.564  0.564
Si  0.500  0.861  0.861
Ni  0.500  0.429  0.429
Pt  0.000  0.781  0.781


Among the records above, which one has the lowest VASP energy?
LaPr2Co2B2C3


What is the VASP energy in the first record?
-70.67 eV per cell